[1]
Compound: BaTcP2Ru
Source: the Alexandria database
Functional: PBE
Structure: relaxed

CIF file:
```
data_BaTcP2Ru
_chemical_formula_sum 'Ba2 Tc2 P4 Ru2'
_cell_length_a 4.1132
_cell_length_b 4.1132
_cell_length_c 12.0959
_cell_angle_alpha 90.00
_cell_angle_beta 90.00
_cell_angle_gamma 90.00
_space_group_name_H-M_alt 'I -4 m 2'
_space_group_IT_number 119
_space_group_name_Hall 'I -4 -2'
loop_
_atom_site_label
_atom_site_fract_x
_atom_site_fract_y
_atom_site_fract_z
Ba1 0.0000 0.0000 0.0000
Tc1 0.0000 0.5000 0.2500
P1 0.0000 0.0000 0.3429
Ru1 0.0000 0.5000 0.7500
```

[2]
Compound: BaTlPRu
Source: the Alexandria database
Functional: PBE
Structure: relaxed

CIF file:
```
data_BaTlPRu
_chemical_formula_sum 'Ba2 Tl2 P2 Ru2'
_cell_length_a 4.1825
_cell_length_b 4.1825
_cell_length_c 12.1878
_cell_angle_alpha 90.00
_cell_angle_beta 90.00
_cell_angle_gamma 90.00
_space_group_name_H-M_alt 'P 4/n m m'
_space_group_IT_number 129
loop_
_space_group_symop_operation_xyz
'x,y,z'
'-x,-y,-z'
'-y+1/2,x,z'
'y+1/2,-x,-z'
'-x+1/2,-y+1/2,z'
'x+1/2,y+1/2,-z'
'y,-x+1/2,z'
'-y,x+1/2,-z'
'x+1/2,-y,-z'
'-x+1/2,y,z'
'-y,-x,-z'
'y,x,z'
'-x,y+1/2,-z'
'x,-y+1/2,z'
'y+1/2,x+1/2,-z'
'-y+1/2,-x+1/2,z'
loop_
_atom_site_label
_atom_site_fract_x
_atom_site_fract_y
_atom_site_fract_z
Ba1 0.2500 0.2500 0.2289
Tl1 0.2500 0.7500 0.5000
P1 0.2500 0.2500 0.9078
Ru1 0.2500 0.7500 0.0000
```

[3]
Compound: BaUP2Ru
Source: the Alexandria database
Functional: PBE
Structure: relaxed

CIF file:
```
data_BaUP2Ru
_chemical_formula_sum 'Ba2 U2 P4 Ru2'
_cell_length_a 4.0434
_cell_length_b 4.0434
_cell_length_c 14.3558
_cell_angle_alpha 90.00
_cell_angle_beta 90.00
_cell_angle_gamma 90.00
_space_group_name_H-M_alt 'I -4 m 2'
_space_group_IT_number 119
_space_group_name_Hall 'I -4 -2'
loop_
_atom_site_label
_atom_site_fract_x
_atom_site_fract_y
_atom_site_fract_z
Ba1 0.0000 0.0000 0.0000
U1 0.0000 0.5000 0.7500
P1 0.0000 0.0000 0.3736
Ru1 0.0000 0.5000 0.2500
```

[4]
Compound: BaVPRu2
Source: the Alexandria database
Functional: PBE
Structure: relaxed

CIF file:
```
data_BaVPRu2
_chemical_formula_sum 'Ba1 V1 P1 Ru2'
_cell_length_a 4.5732
_cell_length_b 4.5732
_cell_length_c 4.6177
_cell_angle_alpha 90.00
_cell_angle_beta 90.00
_cell_angle_gamma 90.00
_space_group_name_H-M_alt 'P 4/m m m'
_space_group_IT_number 123
_space_group_name_Hall '-P 4 2'
loop_
_atom_site_label
_atom_site_fract_x
_atom_site_fract_y
_atom_site_fract_z
Ba1 0.0000 0.0000 0.0000
V1 0.5000 0.5000 0.0000
P1 0.5000 0.5000 0.5000
Ru1 0.0000 0.5000 0.5000
```

| no. | E_form (meV/atom) | calculated density (g/cm³) |
| --- | --- | --- |
| 1 | -850 | 6.5 |
| 2 | -637 | 7.4 |
| 3 | -605 | 7.6 |
| 4 | 329 | 7.2 |